[1]
# YInGeO2, relaxed, DFT PBE
# - E_form (uncorrected) (meV/atom) = -945
data_YInGeO2
_chemical_formula_sum 'Y1 In1 Ge1 O2'
_cell_length_a 4.3045
_cell_length_b 4.3045
_cell_length_c 6.0221
_cell_angle_alpha 90.00
_cell_angle_beta 90.00
_cell_angle_gamma 90.00
_space_group_name_H-M_alt 'P 1'
_space_group_IT_number 1
loop_
_space_group_symop_operation_xyz
'x,y,z'
loop_
_atom_site_label
_atom_site_fract_x
_atom_site_fract_y
_atom_site_fract_z
Y1 0.0000 0.0000 0.0000
In1 0.5000 0.5000 0.5000
Ge1 0.0000 0.0000 0.5000
O1 0.0000 0.5000 0.0000
O2 0.5000 0.0000 0.0000

=====

[2]
# Zn2InGeO6, relaxed, DFT PBE
# - E_form (uncorrected) (meV/atom) = -1337
data_Zn2InGeO6
_chemical_formula_sum 'Zn4 In2 Ge2 O12'
_cell_length_a 6.6699
_cell_length_b 6.6699
_cell_length_c 5.4688
_cell_angle_alpha 95.92
_cell_angle_beta 95.92
_cell_angle_gamma 87.57
_space_group_name_H-M_alt 'P 1'
_space_group_IT_number 1
loop_
_space_group_symop_operation_xyz
'x,y,z'
loop_
_atom_site_label
_atom_site_fract_x
_atom_site_fract_y
_atom_site_fract_z
Zn1 0.0886 0.2697 0.3005
Zn2 0.2697 0.0886 0.8005
Zn3 0.7303 0.9114 0.1995
Zn4 0.9114 0.7303 0.6995
In1 0.4095 0.5905 0.7500
In2 0.5905 0.4095 0.2500
Ge1 0.2309 0.7691 0.2500
Ge2 0.7691 0.2309 0.7500
O1 0.0272 0.2195 0.6364
O2 0.1387 0.6498 0.9295
O3 0.2195 0.0272 0.1364
O4 0.2870 0.4891 0.3668
O5 0.3502 0.8613 0.5705
O6 0.4891 0.2870 0.8668
O7 0.5109 0.7130 0.1332
O8 0.6498 0.1387 0.4295
O9 0.7130 0.5109 0.6332
O10 0.7805 0.9728 0.8636
O11 0.8613 0.3502 0.0705
O12 0.9728 0.7805 0.3636

=====

What is the E_form (uncorrected) in the first record?
-945 meV/atom